w:
An optimized crystal structure of Ba2B2Ir. Source: Alexandria, functional PBE.

The value obtained for the magnetization is 0.00 μB/f.u.

The space group is I4/mmm (No. 139) and the conventional cell measures 6.012, 6.012 and 6.136 Å, with angles of 90.00, 90.00 and 90.00 degrees. The asymmetric unit holds Ba at (0.000, 0.500, 0.250), B at (0.000, 0.000, 0.136) and Ir at (0.000, 0.000, 0.500).

=====

x:
An optimized crystal structure of Ba2B2Ir. Source: Alexandria, functional PBE.

The value obtained for the magnetization is 0.00 μB/f.u.

The space group is P4/mbm (No. 127) and the conventional cell measures 6.146, 6.146 and 5.649 Å, with angles of 90.00, 90.00 and 90.00 degrees. The asymmetric unit holds Ba at (0.181, 0.319, 0.000), B at (0.225, 0.725, 0.500) and Ir at (0.000, 0.000, 0.500).

=====

Which structure is the most stable? The one labeled w.

=====

w:
An optimized crystal structure of Ba2BTeIr. Source: Alexandria, functional PBE.

The value obtained for the magnetization is 0.00 μB/f.u.

The space group is P4/mmm (No. 123) and the conventional cell measures 6.079, 6.079 and 4.027 Å, with angles of 90.00, 90.00 and 90.00 degrees. The asymmetric unit holds Ba at (0.000, 0.500, 0.000), B at (0.000, 0.000, 0.000), Te at (0.500, 0.500, 0.500) and Ir at (0.000, 0.000, 0.500).

=====

x:
An optimized crystal structure of Ba2BTeIr. Source: Alexandria, functional PBE.

The value obtained for the magnetization is 0.00 μB/f.u.

The space group is P4/mmm (No. 123) and the conventional cell measures 6.118, 6.118 and 4.148 Å, with angles of 90.00, 90.00 and 90.00 degrees. The asymmetric unit holds Ba at (0.000, 0.500, 0.000), B at (0.000, 0.000, 0.500), Te at (0.500, 0.500, 0.500) and Ir at (0.000, 0.000, 0.000).

=====

Which structure is the most stable? The one labeled w.

=====

w:
An optimized crystal structure of K3BaB. Source: Alexandria, functional PBE.

The value obtained for the magnetization is 0.17 μB/f.u.

The space group is Pm-3m (No. 221) and the conventional cell measures 6.385, 6.385 and 6.385 Å, with angles of 90.00, 90.00 and 90.00 degrees. The asymmetric unit holds K at (0.000, 0.000, 0.500), Ba at (0.500, 0.500, 0.500) and B at (0.000, 0.000, 0.000).

=====

x:
An optimized crystal structure of K3BaB. Source: Alexandria, functional PBE.

The value obtained for the magnetization is 1.99 μB/f.u.

The space group is Pm-3m (No. 221) and the conventional cell measures 8.191, 8.191 and 8.191 Å, with angles of 90.00, 90.00 and 90.00 degrees. The asymmetric unit holds K at (0.000, 0.000, 0.500), Ba at (0.000, 0.000, 0.000) and B at (0.500, 0.500, 0.500).

=====

Which structure is the most stable? The one labeled w.

=====

w:
An optimized crystal structure of KBaB3. Source: Alexandria, functional PBE.

The value obtained for the magnetization is 0.00 μB/f.u.

The space group is Pm-3m (No. 221) and the conventional cell measures 5.316, 5.316 and 5.316 Å, with angles of 90.00, 90.00 and 90.00 degrees. The asymmetric unit holds K at (0.000, 0.000, 0.000), Ba at (0.500, 0.500, 0.500) and B at (0.000, 0.500, 0.500).

=====

x:
An optimized crystal structure of KBaB3. Source: Alexandria, functional PBE.

The value obtained for the magnetization is 0.00 μB/f.u.

The space group is Pm-3m (No. 221) and the conventional cell measures 5.081, 5.081 and 5.081 Å, with angles of 90.00, 90.00 and 90.00 degrees. The asymmetric unit holds K at (0.000, 0.000, 0.000), Ba at (0.500, 0.500, 0.500) and B at (0.000, 0.000, 0.500).

=====

Which structure is the most stable? The one labeled w.

=====

w:
An optimized crystal structure of BaLaB. Source: Alexandria, functional PBE.

The value obtained for the magnetization is 0.00 μB/f.u.

The space group is P-1 (No. 2) and the conventional cell measures 3.364, 3.845 and 14.660 Å, with angles of 82.51, 83.55 and 90.00 degrees. The asymmetric unit holds Ba at (0.068, 0.313, 0.373), La at (0.309, 0.060, 0.880) and B at (0.242, 0.491, 0.017).

=====

x:
An optimized crystal structure of BaLaB. Source: Alexandria, functional PBE.

The value obtained for the magnetization is 0.00 μB/f.u.

The space group is P-1 (No. 2) and the conventional cell measures 4.118, 4.881 and 10.381 Å, with angles of 85.47, 83.20 and 76.56 degrees. The asymmetric unit holds Ba at (0.238, 0.231, 0.158), La at (0.351, 0.295, 0.609) and B at (0.047, 0.861, 0.548).

=====

y:
An optimized crystal structure of BaLaB. Source: Alexandria, functional PBE.

The value obtained for the magnetization is 0.00 μB/f.u.

The space group is P1 (No. 1) and the conventional cell measures 3.358, 3.834 and 14.636 Å, with angles of 89.61, 83.71 and 89.99 degrees. The asymmetric unit holds Ba at (0.000, 0.000, 0.000), Ba at (0.135, 0.990, 0.743), La at (0.372, 0.499, 0.252), La at (0.757, 0.493, 0.491), B at (0.306, 0.995, 0.388) and B at (0.823, 0.996, 0.354).

=====

Which structure is the most stable? The one labeled w.

=====

w:
An optimized crystal structure of BaLi3B. Source: Alexandria, functional PBE.

The value obtained for the magnetization is 0.71 μB/f.u.

The space group is Pm-3m (No. 221) and the conventional cell measures 5.968, 5.968 and 5.968 Å, with angles of 90.00, 90.00 and 90.00 degrees. The asymmetric unit holds Ba at (0.000, 0.000, 0.000), Li at (0.000, 0.000, 0.500) and B at (0.500, 0.500, 0.500).

=====

x:
An optimized crystal structure of BaLi3B. Source: Alexandria, functional PBE.

The value obtained for the magnetization is 0.00 μB/f.u.

The space group is Pm-3m (No. 221) and the conventional cell measures 4.682, 4.682 and 4.682 Å, with angles of 90.00, 90.00 and 90.00 degrees. The asymmetric unit holds Ba at (0.000, 0.000, 0.000), Li at (0.000, 0.500, 0.500) and B at (0.500, 0.500, 0.500).

=====

Which structure is the most stable? The one labeled x.

=====

w:
An optimized crystal structure of BaLiB2. Source: Alexandria, functional PBE.

The value obtained for the magnetization is 0.00 μB/f.u.

The space group is I4_1/amd (No. 141, origin choice 2) and the conventional cell measures 3.993, 3.993 and 16.739 Å, with angles of 90.00, 90.00 and 90.00 degrees. The asymmetric unit holds Ba at (0.000, 0.250, 0.375), Li at (0.000, 0.250, 0.875) and B at (0.000, 0.000, 0.000).

=====

x:
An optimized crystal structure of BaLiB2. Source: Alexandria, functional PBE.

The value obtained for the magnetization is 0.00 μB/f.u.

The space group is Fm-3m (No. 225) and the conventional cell measures 6.744, 6.744 and 6.744 Å, with angles of 90.00, 90.00 and 90.00 degrees. The asymmetric unit holds Ba at (0.000, 0.000, 0.000), Li at (0.000, 0.000, 0.500) and B at (0.250, 0.250, 0.250).

=====

Which structure is the most stable? The one labeled w.

=====

w:
An optimized crystal structure of BaMgB3. Source: Alexandria, functional PBE.

The value obtained for the magnetization is 0.00 μB/f.u.

The space group is Pm-3m (No. 221) and the conventional cell measures 4.911, 4.911 and 4.911 Å, with angles of 90.00, 90.00 and 90.00 degrees. The asymmetric unit holds Ba at (0.000, 0.000, 0.000), Mg at (0.500, 0.500, 0.500) and B at (0.000, 0.000, 0.500).

=====

x:
An optimized crystal structure of BaMgB3. Source: Alexandria, functional PBE.

The value obtained for the magnetization is 0.00 μB/f.u.

The space group is Pm-3m (No. 221) and the conventional cell measures 4.584, 4.584 and 4.584 Å, with angles of 90.00, 90.00 and 90.00 degrees. The asymmetric unit holds Ba at (0.000, 0.000, 0.000), Mg at (0.500, 0.500, 0.500) and B at (0.000, 0.500, 0.500).

=====

Which structure is the most stable? The one labeled x.